(1)
{"formula": "RbSc3Cu", "functional": "PBE", "state": "relaxed", "lattice": [[5.2452, 0.0000, 0.0000], [0.0000, 5.2452, 0.0000], [0.0000, 0.0000, 5.2452]], "species": ["Sc", "Sc", "Sc", "Cu", "Rb"], "frac_coords": [[0.0000, 0.5000, 0.0000], [0.0000, 0.0000, 0.5000], [0.5000, 0.0000, 0.0000], [0.0000, 0.0000, 0.0000], [0.5000, 0.5000, 0.5000]], "density_g_cm3": 3.3, "final_energy_ev_per_cell": -21.81, "ef_ev_per_atom": 0.450, "magmom_total_mub_per_fu": 0.00, "e_above_lowest_polymorph_ev_per_atom": 0.000}

(2)
{"formula": "RbScCu3", "functional": "PBE", "state": "relaxed", "lattice": [[-4.3556, 2.1785, 1.5726], [-2.1297, -0.9731, -4.5506], [-1.6381, -4.5275, 1.7347]], "species": ["Sc", "Cu", "Cu", "Cu", "Rb"], "frac_coords": [[0.5000, 0.5000, 0.5000], [0.0000, 0.5000, 0.0000], [0.0000, 0.0000, 0.5000], [0.5000, 0.0000, 0.0000], [0.0000, 0.0000, 0.0000]], "density_g_cm3": 4.0, "final_energy_ev_per_cell": -11.74, "ef_ev_per_atom": 1.569, "magmom_total_mub_per_fu": 0.00, "e_above_lowest_polymorph_ev_per_atom": 0.886}

(3)
{"formula": "RbSc3Cu", "functional": "PBE", "state": "relaxed", "lattice": [[4.9975, 0.0000, 0.0000], [0.0000, 4.9975, 0.0000], [0.0000, 0.0000, 4.9975]], "species": ["Sc", "Sc", "Sc", "Cu", "Rb"], "frac_coords": [[0.0000, 0.5000, 0.0000], [0.0000, 0.0000, 0.5000], [0.5000, 0.0000, 0.0000], [0.5000, 0.5000, 0.5000], [0.0000, 0.0000, 0.0000]], "density_g_cm3": 3.8, "final_energy_ev_per_cell": -15.68, "ef_ev_per_atom": 1.675, "magmom_total_mub_per_fu": 0.00, "e_above_lowest_polymorph_ev_per_atom": 1.225}

(4)
{"formula": "RbSc2Cu2Se4", "functional": "PBE", "state": "relaxed", "lattice": [[3.6923, 0.0000, 0.0000], [-1.8462, 8.9365, -1.7775], [0.0000, -4.8119, 7.9146]], "species": ["Rb", "Sc", "Sc", "Cu", "Cu", "Se", "Se", "Se", "Se"], "frac_coords": [[0.0000, 0.0000, 0.0000], [0.8928, 0.7857, 0.3740], [0.1072, 0.2143, 0.6260], [0.3114, 0.6228, 0.0355], [0.6886, 0.3772, 0.9645], [0.7572, 0.5145, 0.7963], [0.2428, 0.4855, 0.2037], [0.4939, 0.9878, 0.3100], [0.5061, 0.0122, 0.6900]], "density_g_cm3": 4.5, "final_energy_ev_per_cell": -44.96, "e_form_raw_ev_per_atom": -1.022, "magmom_total_mub_per_fu": 0.81}

(5)
{"formula": "RbSc2CuSe4", "functional": "PBE", "state": "relaxed", "lattice": [[-1.1423, -0.8398, -3.7229], [4.6875, -5.2123, 1.8689], [-10.5629, -7.7132, 4.9810]], "species": ["Rb", "Rb", "Sc", "Sc", "Sc", "Sc", "Cu", "Cu", "Se", "Se", "Se", "Se", "Se", "Se", "Se", "Se"], "frac_coords": [[0.1158, 0.2317, 0.7500], [0.8842, 0.7683, 0.2500], [0.3691, 0.7383, 0.5664], [0.6309, 0.2617, 0.0664], [0.6309, 0.2617, 0.4336], [0.3691, 0.7383, 0.9336], [0.8352, 0.6705, 0.7500], [0.1648, 0.3295, 0.2500], [0.2561, 0.5123, 0.1022], [0.7439, 0.4877, 0.6022], [0.7439, 0.4877, 0.8978], [0.2561, 0.5123, 0.3978], [0.0000, 0.0000, 0.5000], [0.0000, 0.0000, 0.0000], [0.4325, 0.8650, 0.7500], [0.5675, 0.1350, 0.2500]], "density_g_cm3": 4.7, "final_energy_ev_per_cell": -84.75, "e_form_raw_ev_per_atom": -1.338, "magmom_total_mub_per_fu": 0.00}

(6)
{"formula": "RbSrScCu2", "functional": "PBE", "state": "relaxed", "lattice": [[5.4370, 0.0000, 0.0000], [0.0000, 5.4216, 0.0000], [0.0000, 0.0000, 5.4370]], "species": ["Sc", "Sr", "Cu", "Cu", "Rb"], "frac_coords": [[0.0000, 0.5000, 0.0000], [0.5000, 0.5000, 0.5000], [0.0000, 0.0000, 0.5000], [0.5000, 0.0000, 0.0000], [0.0000, 0.0000, 0.0000]], "density_g_cm3": 3.6, "final_energy_ev_per_cell": -11.06, "ef_ev_per_atom": 1.222, "magmom_total_mub_per_fu": 0.00}

(7)
{"formula": "RbScCuTe2", "functional": "PBE", "state": "relaxed", "lattice": [[-4.6376, -3.8831, 0.4578], [4.7315, -5.0220, 5.3342], [-3.5355, 4.6118, 3.3032]], "species": ["Rb", "Rb", "Sc", "Sc", "Cu", "Cu", "Te", "Te", "Te", "Te"], "frac_coords": [[0.2364, 0.5000, 0.7500], [0.7636, 0.5000, 0.2500], [0.5000, 0.0000, 0.2500], [0.5000, 0.0000, 0.7500], [0.0000, 0.0000, 0.0000], [0.0000, 0.0000, 0.5000], [0.7352, 0.7665, 0.8835], [0.7352, 0.2335, 0.6165], [0.2648, 0.7665, 0.3835], [0.2648, 0.2335, 0.1165]], "density_g_cm3": 4.6, "final_energy_ev_per_cell": -42.36, "e_form_raw_ev_per_atom": -0.700, "magmom_total_mub_per_fu": 0.97}

(8)
{"formula": "RbSc2CuTe4", "functional": "PBE", "state": "relaxed", "lattice": [[-3.5253, -2.0308, -1.2650], [4.2595, 1.0587, -6.3953], [6.8050, -13.2681, 2.3360]], "species": ["Rb", "Rb", "Sc", "Sc", "Sc", "Sc", "Cu", "Cu", "Te", "Te", "Te", "Te", "Te", "Te", "Te", "Te"], "frac_coords": [[0.1190, 0.2380, 0.7500], [0.8810, 0.7620, 0.2500], [0.3701, 0.7403, 0.5673], [0.6299, 0.2597, 0.0673], [0.6299, 0.2597, 0.4327], [0.3701, 0.7403, 0.9327], [0.8350, 0.6700, 0.7500], [0.1650, 0.3300, 0.2500], [0.2583, 0.5166, 0.1029], [0.7417, 0.4834, 0.6029], [0.7417, 0.4834, 0.8971], [0.2583, 0.5166, 0.3971], [0.0000, 0.0000, 0.5000], [0.0000, 0.0000, 0.0000], [0.4342, 0.8684, 0.7500], [0.5658, 0.1316, 0.2500]], "density_g_cm3": 5.2, "final_energy_ev_per_cell": -76.27, "e_form_raw_ev_per_atom": -0.980, "magmom_total_mub_per_fu": 0.00}

(9)
{"formula": "RbCuSe2", "functional": "PBE", "state": "relaxed", "lattice": [[2.8899, 3.2811, 2.7445], [-1.5810, 1.5539, 4.6621], [2.4511, -1.6414, 4.2364]], "species": ["Cu", "Se", "Se", "Rb"], "frac_coords": [[0.0000, 0.0000, 0.0000], [0.2500, 0.2500, 0.2500], [0.7500, 0.7500, 0.7500], [0.5000, 0.5000, 0.5000]], "density_g_cm3": 5.2, "final_energy_ev_per_cell": -11.17, "e_form_raw_ev_per_atom": 0.216, "magmom_total_mub_per_fu": 0.00}

(10)
{"formula": "RbCuSe2", "functional": "PBE", "state": "relaxed", "lattice": [[2.2146, 0.0000, 8.9708], [-1.1073, 1.9179, 8.9708], [-1.1073, -1.9179, 8.9708]], "species": ["Cu", "Se", "Se", "Rb"], "frac_coords": [[0.5000, 0.5000, 0.5000], [0.8809, 0.8809, 0.8809], [0.1191, 0.1191, 0.1191], [0.0000, 0.0000, 0.0000]], "density_g_cm3": 4.5, "final_energy_ev_per_cell": -12.33, "e_form_raw_ev_per_atom": -0.075, "magmom_total_mub_per_fu": 0.00}

(11)
{"formula": "RbCu4Se2", "functional": "PBE", "state": "relaxed", "lattice": [[4.1412, 0.0000, 0.0000], [2.0706, 3.5864, 0.0000], [2.0706, 1.1955, 9.2970]], "species": ["Rb", "Cu", "Cu", "Cu", "Cu", "Se", "Se"], "frac_coords": [[0.0000, 0.0000, 0.0000], [0.4534, 0.4534, 0.6399], [0.1614, 0.1614, 0.5157], [0.5466, 0.5466, 0.3601], [0.8386, 0.8386, 0.4843], [0.2475, 0.2475, 0.2576], [0.7525, 0.7525, 0.7424]], "density_g_cm3": 6.0, "final_energy_ev_per_cell": -26.02, "e_form_raw_ev_per_atom": -0.242, "magmom_total_mub_per_fu": 0.00}

(12)
{"formula": "RbCuSe3", "functional": "PBE", "state": "relaxed", "lattice": [[-1.5761, 4.9642, -2.3846], [-4.7709, 0.0084, 3.1706], [2.7512, 2.8584, 4.1322]], "species": ["Cu", "Se", "Se", "Se", "Rb"], "frac_coords": [[0.5000, 0.5000, 0.5000], [0.0000, 0.5000, 0.0000], [0.0000, 0.0000, 0.5000], [0.5000, 0.0000, 0.0000], [0.0000, 0.0000, 0.0000]], "density_g_cm3": 3.4, "final_energy_ev_per_cell": -8.57, "e_form_raw_ev_per_atom": 1.390, "magmom_total_mub_per_fu": 0.00}